No. 1
A plane-wave DFT calculation with PBE was carried out for an optimized crystal structure of Ac12Ir3N5.

a = 14.435 Å, b = 14.435 Å, c = 14.435 Å
α = 109.47°, β = 109.47°, γ = 109.47°
Fractional coordinates of all 80 atoms:
Ac1 0.026 0.207 0.121
Ac2 0.026 0.319 0.904
Ac3 0.086 0.707 0.681
Ac4 0.086 0.879 0.404
Ac5 0.096 0.621 0.414
Ac6 0.096 0.974 0.681
Ac7 0.121 0.026 0.207
Ac8 0.121 0.596 0.914
Ac9 0.181 0.207 0.586
Ac10 0.181 0.474 0.596
Ac11 0.207 0.121 0.026
Ac12 0.207 0.586 0.181
Ac13 0.293 0.319 0.914
Ac14 0.293 0.474 0.379
Ac15 0.319 0.904 0.026
Ac16 0.319 0.914 0.293
Ac17 0.379 0.293 0.474
Ac18 0.379 0.586 0.904
Ac19 0.404 0.086 0.879
Ac20 0.404 0.819 0.526
Ac21 0.414 0.096 0.621
Ac22 0.414 0.819 0.793
Ac23 0.474 0.379 0.293
Ac24 0.474 0.596 0.181
Ac25 0.526 0.404 0.819
Ac26 0.526 0.621 0.707
Ac27 0.586 0.181 0.207
Ac28 0.586 0.904 0.379
Ac29 0.596 0.181 0.474
Ac30 0.596 0.914 0.121
Ac31 0.621 0.414 0.096
Ac32 0.621 0.707 0.526
Ac33 0.681 0.086 0.707
Ac34 0.681 0.096 0.974
Ac35 0.707 0.526 0.621
Ac36 0.707 0.681 0.086
Ac37 0.793 0.414 0.819
Ac38 0.793 0.879 0.974
Ac39 0.819 0.526 0.404
Ac40 0.819 0.793 0.414
Ac41 0.879 0.404 0.086
Ac42 0.879 0.974 0.793
Ac43 0.904 0.026 0.319
Ac44 0.904 0.379 0.586
Ac45 0.914 0.121 0.596
Ac46 0.914 0.293 0.319
Ac47 0.974 0.681 0.096
Ac48 0.974 0.793 0.879
Ir1 0.125 0.250 0.375
Ir2 0.125 0.375 0.750
Ir3 0.250 0.375 0.125
Ir4 0.250 0.875 0.625
Ir5 0.375 0.125 0.250
Ir6 0.375 0.750 0.125
Ir7 0.625 0.250 0.875
Ir8 0.625 0.875 0.750
Ir9 0.750 0.125 0.375
Ir10 0.750 0.625 0.875
Ir11 0.875 0.625 0.250
Ir12 0.875 0.750 0.625
N1 0.000 0.000 0.000
N2 0.000 0.000 0.500
N3 0.000 0.500 0.000
N4 0.000 0.500 0.500
N5 0.125 0.750 0.875
N6 0.125 0.875 0.250
N7 0.250 0.125 0.875
N8 0.250 0.625 0.375
N9 0.375 0.250 0.625
N10 0.375 0.625 0.750
N11 0.500 0.000 0.000
N12 0.500 0.000 0.500
N13 0.500 0.500 0.000
N14 0.500 0.500 0.500
N15 0.625 0.375 0.250
N16 0.625 0.750 0.375
N17 0.750 0.375 0.625
N18 0.750 0.875 0.125
N19 0.875 0.125 0.750
N20 0.875 0.250 0.125

Electronic total energy ... -524.95 eV/cell
Uncorrected formation energy ... -0.6864 eV/atom

No. 2
A plane-wave DFT calculation with PBE was carried out for an optimized crystal structure of Co2RuPb.

a = 5.033 Å, b = 5.033 Å, c = 2.913 Å
α = 101.36°, β = 101.36°, γ = 115.66°
Fractional coordinates of all 4 atoms:
Co1 0.000 0.500 0.000
Co2 0.500 0.000 0.000
Ru1 0.000 0.000 0.500
Pb1 0.500 0.500 0.500

Energy relative to the elements ... 685 meV/atom
Electronic total energy ... -24.46 eV/cell

No. 3
A plane-wave DFT calculation with PBE was carried out for an optimized crystal structure of AgSbW4.

a = 5.381 Å, b = 5.381 Å, c = 5.381 Å
α = 60.00°, β = 60.00°, γ = 60.00°
Fractional coordinates of all 6 atoms:
Ag1 0.000 0.000 0.000
Sb1 0.750 0.750 0.750
W1 0.373 0.373 0.373
W2 0.373 0.373 0.882
W3 0.373 0.882 0.373
W4 0.882 0.373 0.373

Electronic total energy ... -54.04 eV/cell
Uncorrected formation energy ... 0.7910 eV/atom

No. 4
A plane-wave DFT calculation with PBE was carried out for an optimized crystal structure of MgScTa.

a = 3.093 Å, b = 3.093 Å, c = 7.643 Å
α = 90.00°, β = 90.00°, γ = 120.00°
Fractional coordinates of all 3 atoms:
Mg1 0.000 0.000 0.000
Sc1 0.667 0.333 0.362
Ta1 0.333 0.667 0.671

Energy relative to the elements ... 158 meV/atom
Electronic total energy ... -19.30 eV/cell
Relative energy among the computed polymorphs ... 0.098 eV/atom

No. 5
A plane-wave DFT calculation with PBE was carried out for an optimized crystal structure of Lu2TlRh.

a = 3.470 Å, b = 3.470 Å, c = 7.451 Å
α = 90.00°, β = 90.00°, γ = 90.00°
Fractional coordinates of all 4 atoms:
Lu1 0.000 0.000 0.215
Lu2 0.000 0.000 0.785
Tl1 0.500 0.500 0.500
Rh1 0.500 0.500 0.000

Energy relative to the elements ... -664 meV/atom
Electronic total energy ... -21.42 eV/cell
Relative energy among the computed polymorphs ... 0.000 eV/atom

No. 6
A plane-wave DFT calculation with PBE was carried out for an optimized crystal structure of Ce2PrReC4.

a = 6.367 Å, b = 6.367 Å, c = 12.586 Å
α = 90.00°, β = 90.00°, γ = 147.32°
Fractional coordinates of all 16 atoms:
Ce1 0.130 0.870 0.540
Ce2 0.130 0.870 0.960
Ce3 0.870 0.130 0.040
Ce4 0.870 0.130 0.460
Pr1 0.401 0.599 0.750
Pr2 0.599 0.401 0.250
Re1 0.335 0.665 0.250
Re2 0.665 0.335 0.750
C1 0.085 0.915 0.750
C2 0.239 0.761 0.131
C3 0.239 0.761 0.369
C4 0.500 0.500 0.000
C5 0.500 0.500 0.500
C6 0.761 0.239 0.631
C7 0.761 0.239 0.869
C8 0.915 0.085 0.250

Energy relative to the elements ... -21 meV/atom
Electronic total energy ... -132.32 eV/cell

No. 7
A plane-wave DFT calculation with PBE was carried out for an optimized crystal structure of Pm2TmMg.

a = 3.543 Å, b = 10.347 Å, c = 10.347 Å
α = 19.28°, β = 90.00°, γ = 90.00°
Fractional coordinates of all 4 atoms:
Pm1 0.000 0.000 0.000
Pm2 0.000 0.230 0.230
Tm1 0.500 0.378 0.378
Mg1 0.500 0.616 0.616

Energy relative to the elements ... 94 meV/atom
Electronic total energy ... -15.19 eV/cell
Relative energy among the computed polymorphs ... 0.120 eV/atom

No. 8
A plane-wave DFT calculation with PBE was carried out for an optimized crystal structure of HfZrCrCu.

a = 4.570 Å, b = 4.570 Å, c = 4.570 Å
α = 60.00°, β = 60.00°, γ = 60.00°
Fractional coordinates of all 4 atoms:
Hf1 0.000 0.000 0.000
Zr1 0.500 0.500 0.500
Cr1 0.750 0.750 0.750
Cu1 0.250 0.250 0.250

Energy relative to the elements ... 40 meV/atom
Electronic total energy ... -32.06 eV/cell

No. 9
A plane-wave DFT calculation with PBE was carried out for an optimized crystal structure of RbLiBr2.

a = 5.561 Å, b = 5.561 Å, c = 5.561 Å
α = 60.00°, β = 60.00°, γ = 60.00°
Fractional coordinates of all 4 atoms:
Rb1 0.000 0.000 0.000
Li1 0.500 0.500 0.500
Br1 0.250 0.250 0.250
Br2 0.750 0.750 0.750

Electronic total energy ... -11.71 eV/cell
Uncorrected formation energy ... -1.3702 eV/atom

No. 10
A plane-wave DFT calculation with PBE was carried out for an optimized crystal structure of CaTaTe2.

a = 10.260 Å, b = 10.260 Å, c = 10.260 Å
α = 21.10°, β = 21.10°, γ = 21.10°
Fractional coordinates of all 4 atoms:
Ca1 0.000 0.000 0.000
Ta1 0.500 0.500 0.500
Te1 0.107 0.107 0.107
Te2 0.893 0.893 0.893

Electronic total energy ... -21.22 eV/cell
Relative energy among the computed polymorphs ... 0.204 eV/atom
Uncorrected formation energy ... -0.2704 eV/atom

No. 11
A plane-wave DFT calculation with PBE was carried out for an optimized crystal structure of KSbSe.

a = 8.474 Å, b = 8.474 Å, c = 8.474 Å
α = 142.59°, β = 131.57°, γ = 62.76°
Fractional coordinates of all 6 atoms:
K1 0.146 0.146 0.000
K2 0.854 0.854 0.000
Sb1 0.215 0.500 0.715
Sb2 0.785 0.500 0.285
Se1 0.374 0.374 0.000
Se2 0.626 0.626 0.000

Electronic total energy ... -19.50 eV/cell
Relative energy among the computed polymorphs ... 0.340 eV/atom
Uncorrected formation energy ... -0.3486 eV/atom

No. 12
A plane-wave DFT calculation with PBE was carried out for an optimized crystal structure of La3As2Cl.

a = 7.511 Å, b = 7.511 Å, c = 11.078 Å
α = 90.00°, β = 90.00°, γ = 146.15°
Fractional coordinates of all 12 atoms:
La1 0.100 0.900 0.750
La2 0.352 0.648 0.558
La3 0.352 0.648 0.942
La4 0.648 0.352 0.058
La5 0.648 0.352 0.442
La6 0.900 0.100 0.250
As1 0.000 0.000 0.000
As2 0.000 0.000 0.500
As3 0.251 0.749 0.250
As4 0.749 0.251 0.750
Cl1 0.475 0.525 0.750
Cl2 0.525 0.475 0.250

Electronic total energy ... -68.87 eV/cell
Relative energy among the computed polymorphs ... 0.246 eV/atom
Uncorrected formation energy ... -1.4178 eV/atom